Density functional theory data (PBE) for an optimized crystal structure of La4Nd6Y.

Cell: 9.685 9.685 9.685 Å, 61.12 137.86 137.86°
Element x y z (fractional)
Nd 0.500 0.500 0.000
La 0.000 0.006 0.632
La 0.000 0.632 0.006
Nd 0.000 0.779 0.446
Nd 0.000 0.446 0.779
La 0.374 0.368 0.368
Nd 0.667 0.221 0.221
La 0.626 0.994 0.994
Nd 0.500 0.000 0.500
Y 0.000 0.000 0.000
Nd 0.333 0.554 0.554

Computed properties:
**Excess energy over the best structure of this formula in the dataset**: 0.0181 eV per atom
**Symmetry**: No. 121
**Calculated total energy**: -4.72 eV per atom
**Calculated formation energy**: 263 meV/atom

---

Density functional theory data (PBE) for an optimized crystal structure of CuPd5Se3.

Cell: 6.705 6.705 8.580 Å, 75.99 75.99 67.82°
Element x y z (fractional)
Se 0.311 0.311 0.191
Cu 0.096 0.096 0.714
Se 0.679 0.679 0.373
Pd 0.675 0.325 0.000
Se 0.000 0.000 0.000
Pd 0.075 0.675 0.758
Pd 0.325 0.675 0.000
Pd 0.751 0.751 0.062
Pd 0.466 0.466 0.336
Cu 0.904 0.904 0.286
Pd 0.249 0.249 0.938
Se 0.000 0.000 0.500
Pd 0.675 0.075 0.758
Se 0.321 0.321 0.627
Se 0.689 0.689 0.809
Pd 0.925 0.325 0.242
Pd 0.325 0.925 0.242
Pd 0.534 0.534 0.664

Computed properties:
**Symmetry**: No. 12
**Calculated total energy**: -4.57 eV per atom

---

Density functional theory data (PBE) for an optimized crystal structure of CuAu2Se.

Cell: 4.805 2.902 6.362 Å, 55.07 90.00 90.00°
Element x y z (fractional)
Au 0.000 0.210 0.482
Au 0.000 0.290 0.018
Se 0.500 0.750 0.750
Cu 0.500 0.250 0.250

Computed properties:
**Symmetry**: No. 10
**Calculated total energy**: -3.37 eV per atom

---

Density functional theory data (PBE) for an optimized crystal structure of AgMo2W.

Cell: 5.323 5.469 2.675 Å, 78.52 81.43 117.62°
Element x y z (fractional)
W 0.500 0.500 0.000
Ag 0.500 0.000 0.500
Mo 0.000 0.500 0.500
Mo 0.000 0.000 0.000

Computed properties:
**Excess energy over the best structure of this formula in the dataset**: 0.1795 eV per atom
**Symmetry**: No. 12
**Calculated total energy**: -8.94 eV per atom
**Calculated formation energy**: 426 meV/atom

---

Density functional theory data (PBE) for an optimized crystal structure of KSi.

Cell: 3.965 3.965 10.233 Å, 90.00 90.00 120.00°
Element x y z (fractional)
Si 0.667 0.333 0.663
K 0.667 0.333 0.332
K 0.000 0.000 0.918
Si 0.000 0.000 0.587

Computed properties:
**Excess energy over the best structure of this formula in the dataset**: 0.1619 eV per atom
**Symmetry**: No. 164
**Calculated total energy**: -3.17 eV per atom

---

Density functional theory data (PBE) for an optimized crystal structure of AgF3.

Cell: 3.322 3.322 5.926 Å, 106.28 106.28 90.00°
Each line ends with the local moment (μB).
Element x y z (fractional)
F 0.824 0.824 0.648  0.11
F 0.176 0.176 0.352  0.11
F 0.500 0.500 0.000  0.00
Ag 0.000 0.000 0.000  0.05

Computed properties:
**Excess energy over the best structure of this formula in the dataset**: 0.2593 eV per atom
**Symmetry**: No. 139
**Calculated total energy**: -2.87 eV per atom

---

Density functional theory data (PBE) for an optimized crystal structure of Rb2HgBr.

Cell: 4.842 4.842 9.733 Å, 75.60 75.60 60.00°
Element x y z (fractional)
Rb 0.075 0.075 0.776
Hg 0.500 0.500 0.500
Rb 0.259 0.259 0.223
Br 0.667 0.667 0.000

Computed properties:
**Excess energy over the best structure of this formula in the dataset**: 0.0795 eV per atom
**Symmetry**: No. 160
**Calculated total energy**: -1.86 eV per atom

---

Density functional theory data (PBE) for an optimized crystal structure of Ir2IO.

Cell: 4.398 4.398 4.398 Å, 60.00 60.00 60.00°
Element x y z (fractional)
Ir 0.250 0.250 0.250
I 0.500 0.500 0.500
O 0.000 0.000 0.000
Ir 0.750 0.750 0.750

Computed properties:
**Excess energy over the best structure of this formula in the dataset**: 0.5960 eV per atom
**Symmetry**: No. 225
**Calculated total energy**: -4.97 eV per atom

---

Density functional theory data (PBE) for an optimized crystal structure of Nb4TcIr4.

Cell: 4.086 6.316 6.316 Å, 83.99 71.13 71.13°
Element x y z (fractional)
Ir 0.333 0.000 0.333
Nb 0.000 0.310 0.690
Ir 0.667 0.000 0.667
Ir 0.333 0.333 0.000
Nb 0.000 0.690 0.310
Nb 0.690 0.310 0.310
Tc 0.000 0.000 0.000
Nb 0.310 0.690 0.690
Ir 0.667 0.667 0.000

Computed properties:
**Symmetry**: No. 139
**Calculated total energy**: -10.02 eV per atom
**Calculated formation energy**: -456 meV/atom

---

Density functional theory data (PBE) for an optimized crystal structure of Hf2ScSnC.

Cell: 4.505 4.505 4.543 Å, 90.00 90.00 90.00°
Element x y z (fractional)
Sc 0.000 0.000 0.500
C 0.000 0.000 0.000
Sn 0.500 0.500 0.500
Hf 0.500 0.000 0.000
Hf 0.000 0.500 0.000

Computed properties:
**Symmetry**: No. 123
**Calculated total energy**: -8.46 eV per atom
**Calculated formation energy**: -566 meV/atom

---

Density functional theory data (PBE) for an optimized crystal structure of CdIn2Tc.

Cell: 5.334 5.334 5.334 Å, 133.55 133.60 67.75°
Each line ends with the local moment (μB).
Element x y z (fractional)
In 0.000 0.000 0.000  -0.02
Cd 0.250 0.750 0.500  -0.01
In 0.500 0.500 0.000  -0.02
Tc 0.750 0.250 0.500  0.84

Computed properties:
**Symmetry**: No. 139
**Calculated total energy**: -3.93 eV per atom
**Calculated formation energy**: 258 meV/atom

---

Density functional theory data (PBE) for an optimized crystal structure of Ba4Pa3AgO12.

Cell: 7.771 7.771 7.771 Å, 109.47 109.47 109.47°
Element x y z (fractional)
O 0.750 0.250 0.500
O 0.728 0.728 0.000
Pa 0.500 0.000 0.500
O 0.250 0.500 0.750
O 0.000 0.272 0.272
O 0.272 0.000 0.272
Ba 0.500 0.000 0.000
O 0.000 0.728 0.728
O 0.728 0.000 0.728
Ba 0.000 0.500 0.000
O 0.750 0.500 0.250
Pa 0.000 0.500 0.500
O 0.500 0.250 0.750
Ba 0.000 0.000 0.500
O 0.500 0.750 0.250
O 0.272 0.272 0.000
Ba 0.500 0.500 0.500
Pa 0.500 0.500 0.000
O 0.250 0.750 0.500
Ag 0.000 0.000 0.000

Computed properties:
**Symmetry**: No. 229
**Calculated total energy**: -7.94 eV per atom